Entry from Alexandria: a geometry-optimized Nd2YP3Rh12 structure (PBE-GGA).

Cell: 6.761 6.761 6.761 Å, 83.99 83.99 83.99°
Fractional positions:
1 Nd 0.127 0.127 0.127
2 Nd 0.873 0.873 0.873
3 Y 0.500 0.500 0.500
4 P 0.000 0.500 0.500
5 P 0.500 0.000 0.500
6 P 0.500 0.500 0.000
7 Rh 0.134 0.134 0.589
8 Rh 0.134 0.589 0.134
9 Rh 0.165 0.677 0.677
10 Rh 0.323 0.323 0.835
11 Rh 0.323 0.835 0.323
12 Rh 0.411 0.866 0.866
13 Rh 0.589 0.134 0.134
14 Rh 0.677 0.165 0.677
15 Rh 0.677 0.677 0.165
16 Rh 0.835 0.323 0.323
17 Rh 0.866 0.411 0.866
18 Rh 0.866 0.866 0.411

Properties
- formation enthalpy at 0 K (eV/f.u.) = -5.98
- M_tot (μB/f.u.) = 0.0
- crystal system = trigonal
- Fermi-level density of states (states/eV/atom) = 1.05